Density functional theory data (PBE-GGA) for a relaxed structure of Li2FeW.

Structure (POSCAR):
```
Li2FeW
1.0
2.652 0.000 0.000
-1.326 2.297 0.000
0.000 0.000 28.795
Li Fe W
6 3 3
Cartesian
0.000 0.000 7.086
0.000 0.000 21.709
0.000 1.531 12.111
0.000 1.531 26.282
1.326 0.766 2.513
1.326 0.766 16.684
0.000 0.000 14.397
0.000 1.531 4.799
1.326 0.766 23.996
0.000 0.000 0.000
0.000 1.531 19.197
1.326 0.766 9.598
```

Results
- Distance to the lowest polymorph of the same formula: 0.601 eV/f.u.
- DFT total energy: -70.7 eV per cell
- E_form: 0.42 eV/atom
- Space-group type: No. 166